This record from Alexandria via LeMat-Bulk describes a relaxed structure of La6Pr3Cd. The functional is GGA-PBE.

final energy = -88.94 eV for the cell shown
formation energy from the elements = 0.035 eV/atom
SG = Pnnm (58)

Lattice parameters (Å, degrees): 10.7501 12.2378 5.5206 90.00 90.00 90.00
Fractional positions:
La1 0.0735 0.2490 0.0000
La2 0.1711 0.0795 0.5000
La3 0.2152 0.3870 0.5000
La4 0.2848 0.8870 0.0000
La5 0.3289 0.5795 0.0000
La6 0.4265 0.7490 0.5000
La7 0.5735 0.2510 0.5000
La8 0.6711 0.4205 0.0000
La9 0.7152 0.1130 0.0000
La10 0.7848 0.6130 0.5000
La11 0.8289 0.9205 0.5000
La12 0.9265 0.7510 0.0000
Pr1 0.0000 0.5000 0.0000
Pr2 0.1173 0.7180 0.5000
Pr3 0.3827 0.2180 0.0000
Pr4 0.5000 0.0000 0.5000
Pr5 0.6173 0.7820 0.0000
Pr6 0.8827 0.2820 0.5000
Cd1 0.0000 0.0000 0.0000
Cd2 0.5000 0.5000 0.5000